Gd2Cd3Ga3 | PBE | optimized geometry

a = 4.848 Å, b = 6.449 Å, c = 11.195 Å
α = 90.00°, β = 90.00°, γ = 90.00°
Space group Amm2 (No. 38)
Unique sites:
Gd 0.000 0.000 0.000
Gd 0.500 0.000 0.334
Cd 0.000 0.237 0.739
Cd 0.500 0.000 0.819
Ga 0.000 0.000 0.501
Ga 0.500 0.237 0.581

Energy above the most stable polymorph in this dataset: 16.0 meV/atom
Total moment: 0.00 μB per cell
E: -3.016 eV per atom